Computed, not measured: an optimized crystal structure of CoHg at the PBE-GGA level of DFT.

Cell lengths 4.398, 4.398, 9.330 Å; angles 73.96, 73.96, 38.21 degrees
Fractional positions:
Hg 0.018 0.018 0.509
Co 0.361 0.361 0.778
Co 0.040 0.040 0.875
Hg 0.704 0.704 0.046
Co 0.682 0.682 0.680
Hg 0.361 0.361 0.278

Computed properties:
- E: -20.04 eV per cell
- Formation enthalpy at 0 K: 0.364 eV/atom
- N(E_F): 5.778 states/eV per cell
- Total moment: 1.6 μB/f.u.